Crystalline LiTcSb at its relaxed geometry. Source: Alexandria, functional PBEsol.

Unit cell a=7.0861 b=6.8600 c=2.9602 alpha=82.06 beta=73.50 gamma=24.44
Closest atoms and distances in Å follow each position.
Atoms (fractional coordinates):
Li 0.0000 0.0000 0.0000  2 Tc 2.68, 4 Li 2.96
Tc 0.6575 0.6575 0.3425  2 Sb 2.62, 2 Li 2.68
Sb 0.3092 0.3092 0.6908  2 Tc 2.62

Results
The space group is No. 42. The offset from the most stable computed form comes out at 259.6 meV/atom. The spin magnetization comes out at 0.5 μB/cell. Its density is 6.92 g/cm³. The calculation puts the calculated volume at 18.13 Å³/atom.

***

Crystalline Cd2AgRh at its relaxed geometry. Source: Alexandria, functional PBEsol.

Unit cell a=3.0596 b=3.0596 c=7.2293 alpha=90.00 beta=90.00 gamma=90.00
Closest atoms and distances in Å follow each position.
Atoms (fractional coordinates):
Cd 0.0000 0.0000 0.2349  4 Rh 2.75, 4 Ag 2.89, 4 Cd 3.06
Cd 0.0000 0.0000 0.7651  4 Rh 2.75, 4 Ag 2.89, 4 Cd 3.06
Ag 0.5000 0.5000 0.5000  8 Cd 2.89, 4 Ag 3.06
Rh 0.5000 0.5000 0.0000  8 Cd 2.75, 4 Rh 3.06

Results
For the energy of formation from the pure elements, the calculation gives -0.3 eV per formula unit. The space group is No. 123. The offset from the most stable computed form comes out at 28.5 meV/atom. The spin magnetization comes out at 0.0 μB/cell. Its density is 10.69 g/cm³. The calculation puts the calculated volume at 16.92 Å³/atom.